Crystalline V6O7F5 at its relaxed geometry. Source: the Alexandria database, functional PBE with a Hubbard U.

Cell and atoms, written as CIF:
```
data_V6O7F5
_chemical_formula_sum 'V6 O7 F5'
_cell_length_a 4.648
_cell_length_b 5.601
_cell_length_c 7.828
_cell_angle_alpha 86.24
_cell_angle_beta 88.96
_cell_angle_gamma 88.44
_symmetry_space_group_name_H-M 'P 1'
_symmetry_Int_Tables_number 1
loop_
_symmetry_equiv_pos_as_xyz
'x,y,z'
loop_
_atom_site_label
_atom_site_fract_x
_atom_site_fract_y
_atom_site_fract_z
V1 0.000 0.000 0.000
V2 0.002 0.352 0.688
V3 0.040 0.679 0.368
V4 0.514 0.505 0.027
V5 0.530 0.170 0.339
V6 0.532 0.826 0.692
O1 0.227 0.638 0.590
O2 0.318 0.466 0.251
O3 0.325 0.801 0.915
O4 0.711 0.876 0.451
O5 0.717 0.547 0.792
O6 0.727 0.210 0.108
O7 0.807 0.044 0.771
F1 0.219 0.299 0.911
F2 0.222 0.973 0.242
F3 0.310 0.136 0.580
F4 0.814 0.376 0.453
F5 0.825 0.707 0.130
```

calculated total energy = -130.54 eV for the cell shown
relative energy among the computed polymorphs = 0.022 eV per atom